1.
NaPmIrO6 | PBE-GGA | relaxed

total moment: 0.103 μB per atom
E_form (uncorrected): -1401 meV/atom
V: 14.41 A^3/atom

a b c (Å): 5.7341 5.7341 9.1063
angles (deg): 90.00 90.00 120.00
Last column: nearest neighbours and their distance in Å.
Space group P-31c (No. 163)
Inequivalent atoms, fractional coordinates:
Na 0.0000 0.0000 0.0000 [2 per cell]  6 O 2.44
Pm 0.3333 0.6667 0.2500 [2 per cell]  6 O 2.34
Ir 0.3333 0.6667 0.7500 [2 per cell]  6 O 1.90
O 0.0567 0.3958 0.6326 [12 per cell]  1 Ir 1.90



2.
NaPm2IrO8 | PBE-GGA | relaxed

total moment: 0.094 μB per atom
E_form (uncorrected): -1771 meV/atom
V: 12.84 A^3/atom

a b c (Å): 4.2680 5.2075 7.1708
angles (deg): 90.30 104.75 90.09
Last column: nearest neighbours and their distance in Å.
Space group P-1 (No. 2)
Inequivalent atoms, fractional coordinates:
Na 0.0000 0.0000 0.0000 [1 per cell]  4 O 2.54-2.63
Pm 0.3801 0.4901 0.7154 [2 per cell]  7 O 2.40-2.50
Ir 0.0000 0.0000 0.5000 [1 per cell]  6 O 1.87-1.97
O 0.1681 0.5320 0.9979 [2 per cell]  1 O 1.48
O 0.1794 0.6902 0.4067 [2 per cell]  1 Ir 1.97
O 0.2222 0.2227 0.3751 [2 per cell]  1 Ir 1.87
O 0.3380 0.0171 0.7406 [2 per cell]  1 Ir 1.95



3.
NaPr2IrO6 | PBE-GGA | relaxed

total moment: 0.202 μB per atom
E_form (uncorrected): -2203 meV/atom
V: 13.51 A^3/atom

a b c (Å): 5.5818 6.0146 9.7275
angles (deg): 90.00 124.16 90.00
Last column: nearest neighbours and their distance in Å.
Space group P2_1/c (No. 14)
Inequivalent atoms, fractional coordinates:
Na 0.0000 0.0000 0.0000 [2 per cell]  6 O 2.28-2.35
Pr 0.2256 0.0730 0.7468 [4 per cell]  5 O 2.37-2.61
Ir 0.5000 0.0000 0.5000 [2 per cell]  6 O 1.99-2.00
O 0.1538 0.1749 0.4482 [4 per cell]  1 Ir 2.00
O 0.2695 0.7188 0.4334 [4 per cell]  1 Ir 2.00
O 0.3855 0.0473 0.2676 [4 per cell]  1 Ir 1.99



4.
Na3Pr3IrO8 | PBE-GGA | relaxed

total moment: 0.070 μB per atom
E_form (uncorrected): -2155 meV/atom
V: 15.84 A^3/atom

a b c (Å): 7.0126 7.0126 16.7361
angles (deg): 90.00 90.00 120.00
Last column: nearest neighbours and their distance in Å.
Space group R-3m (No. 166, hexagonal axes)
Inequivalent atoms, fractional coordinates:
Na 0.0000 0.5000 0.0000 [9 per cell]  6 O 2.53-2.56
Pr 0.0000 0.5000 0.5000 [9 per cell]  6 O 2.37-2.44
Ir 0.0000 0.0000 0.5000 [3 per cell]  6 O 2.11
O 0.0000 0.0000 0.2400 [6 per cell]  3 Pr 2.37, 3 Na 2.56
O 0.0404 0.5202 0.2343 [18 per cell]  1 Ir 2.11



5.
NaIrPtO6 | PBE-GGA | relaxed

total moment: 0.227 μB per atom
E_form (uncorrected): -715 meV/atom
V: 13.79 A^3/atom

a b c (Å): 5.3021 5.3021 10.1945
angles (deg): 90.00 90.00 120.00
Last column: nearest neighbours and their distance in Å.
Space group P-31c (No. 163)
Inequivalent atoms, fractional coordinates:
Na 0.0000 0.0000 0.0000 [2 per cell]  6 O 2.49
Ir 0.3333 0.6667 0.2500 [2 per cell]  6 O 1.94
Pt 0.3333 0.6667 0.7500 [2 per cell]  6 O 2.00
O 0.0083 0.3799 0.1463 [12 per cell]  1 Ir 1.94, 1 Pt 2.00



6.
NaIrPt2O6 | PBE-GGA | relaxed

total moment: 0.000 μB per atom
E_form (uncorrected): -621 meV/atom
V: 11.86 A^3/atom

a b c (Å): 5.3406 5.3406 14.4024
angles (deg): 90.00 90.00 120.00
Last column: nearest neighbours and their distance in Å.
Space group R3 (No. 146, hexagonal axes)
Inequivalent atoms, fractional coordinates:
Na 0.0000 0.0000 0.0000 [3 per cell]  6 O 2.20-2.39
Ir 0.0000 0.0000 0.4812 [3 per cell]  6 O 2.00-2.05
Pt 0.0000 0.0000 0.2821 [3 per cell]  6 O 2.09-2.21
Pt 0.0000 0.0000 0.7937 [3 per cell]  6 O 2.06-2.11
O 0.0211 0.6717 0.5484 [9 per cell]  1 Ir 2.05, 2 Pt 2.09-2.11
O 0.0295 0.3016 0.3924 [9 per cell]  1 Ir 2.00, 2 Pt 2.06-2.21, 1 Na 2.20



7.
Na2IrPtO6 | PBE-GGA | relaxed

total moment: 0.275 μB per atom
E_form (uncorrected): -687 meV/atom
V: 12.49 A^3/atom

a b c (Å): 5.5235 5.5235 4.0935
angles (deg): 90.00 90.00 90.00
Last column: nearest neighbours and their distance in Å.
Space group P4mm (No. 99)
Inequivalent atoms, fractional coordinates:
Na 0.0000 0.5000 0.0000 [2 per cell]  8 O 2.51-2.78
Ir 0.0000 0.0000 0.5352 [1 per cell]  5 O 1.86-1.93
Pt 0.5000 0.5000 0.5493 [1 per cell]  6 O 1.97-2.12
O 0.0000 0.0000 0.0810 [1 per cell]  1 Ir 1.86
O 0.2438 0.2438 0.6146 [4 per cell]  1 Ir 1.93, 1 Pt 2.02
O 0.5000 0.5000 0.0671 [1 per cell]  2 Pt 1.97-2.12



8.
NaIr2PtO8 | PBE-GGA | relaxed

total moment: 0.000 μB per atom
E_form (uncorrected): -703 meV/atom
V: 11.52 A^3/atom

a b c (Å): 6.4688 6.6691 6.4060
angles (deg): 90.00 90.00 90.00
Last column: nearest neighbours and their distance in Å.
Space group Cmmm (No. 65)
Inequivalent atoms, fractional coordinates:
Na 0.0000 0.0000 0.0000 [2 per cell]  6 O 2.16-2.17
Ir 0.0000 0.5000 0.2481 [4 per cell]  6 O 1.90-2.04
Pt 0.0000 0.0000 0.5000 [2 per cell]  6 O 2.01-2.08
O 0.0000 0.3124 0.5000 [4 per cell]  2 Ir 2.04, 1 Pt 2.08
O 0.0000 0.3255 0.0000 [4 per cell]  2 Ir 1.97, 1 Na 2.17
O 0.2063 0.0000 0.2651 [8 per cell]  1 Ir 1.90, 1 Pt 2.01



9.
NaIrPtO4 | PBE-GGA | relaxed

total moment: 0.000 μB per atom
E_form (uncorrected): -827 meV/atom
V: 13.16 A^3/atom

a b c (Å): 6.3677 6.4304 9.0022
angles (deg): 90.00 90.00 90.00
Last column: nearest neighbours and their distance in Å.
Space group Imma (No. 74)
Inequivalent atoms, fractional coordinates:
Na 0.0000 0.2500 0.1240 [4 per cell]  4 O 2.29-2.31
Ir 0.0000 0.0000 0.5000 [4 per cell]  6 O 2.08
Pt 0.2500 0.2500 0.7500 [4 per cell]  6 O 2.07-2.08
O 0.0000 0.0437 0.7287 [8 per cell]  1 Ir 2.08, 2 Pt 2.08, 1 Na 2.31
O 0.2059 0.2500 0.5217 [8 per cell]  1 Pt 2.07, 2 Ir 2.08, 1 Na 2.29



10.
Na2PuIrO5 | PBE-GGA | relaxed

total moment: 0.547 μB per atom
E_form (uncorrected): -1349 meV/atom
V: 12.23 A^3/atom

a b c (Å): 6.1416 6.1416 5.8357
angles (deg): 90.00 90.00 90.00
Last column: nearest neighbours and their distance in Å.
Space group P4/mbm (No. 127)
Inequivalent atoms, fractional coordinates:
Na 0.1602 0.3398 0.0000 [4 per cell]  4 O 2.25-2.31
Pu 0.0000 0.0000 0.5000 [2 per cell]  8 O 2.60
Ir 0.0000 0.5000 0.5000 [2 per cell]  4 O 1.91
O 0.0000 0.0000 0.0000 [2 per cell]  4 Na 2.31
O 0.1668 0.6668 0.2868 [8 per cell]  1 Ir 1.91



11.
Rb2Na2IrO6 | PBE-GGA | relaxed

total moment: 0.087 μB per atom
E_form (uncorrected): -1105 meV/atom
V: 17.10 A^3/atom

a b c (Å): 6.0647 9.8267 6.6894
angles (deg): 90.00 109.36 90.00
Last column: nearest neighbours and their distance in Å.
Space group C2/m (No. 12)
Inequivalent atoms, fractional coordinates:
Rb 0.0000 0.1805 0.0000 [4 per cell]  6 O 2.78-2.96
Na 0.0000 0.3403 0.5000 [4 per cell]  6 O 2.39-2.53
Ir 0.0000 0.0000 0.5000 [2 per cell]  6 O 1.90-1.91
O 0.1905 0.1375 0.6741 [8 per cell]  1 Ir 1.90
O 0.1991 0.0000 0.3299 [4 per cell]  1 Ir 1.91



12.
Rb3NaIr2O8 | PBE-GGA | relaxed

total moment: 0.149 μB per atom
E_form (uncorrected): -1028 meV/atom
V: 19.20 A^3/atom

a b c (Å): 6.1767 6.1767 8.1355
angles (deg): 90.00 90.00 120.00
Last column: nearest neighbours and their distance in Å.
Space group P-3m1 (No. 164)
Inequivalent atoms, fractional coordinates:
Rb 0.0000 0.0000 0.0000 [1 per cell]  6 O 3.17
Rb 0.3333 0.6667 0.6493 [2 per cell]  7 O 2.79-3.11
Na 0.0000 0.0000 0.5000 [1 per cell]  6 O 2.44
Ir 0.3333 0.6667 0.2120 [2 per cell]  4 O 1.79-1.85
O 0.1777 0.3553 0.3112 [6 per cell]  1 Ir 1.85
O 0.3333 0.6667 0.9917 [2 per cell]  1 Ir 1.79



13.
RbNaIrO3 | PBE-GGA | relaxed

total moment: 0.000 μB per atom
E_form (uncorrected): -980 meV/atom
V: 16.40 A^3/atom

a b c (Å): 5.8107 10.9630 6.1803
angles (deg): 90.00 90.00 90.00
Last column: nearest neighbours and their distance in Å.
Space group Cmcm (No. 63)
Inequivalent atoms, fractional coordinates:
Rb 0.0000 0.2135 0.2500 [4 per cell]  8 O 2.91-3.25
Na 0.0000 0.0871 0.7500 [4 per cell]  5 O 2.29-2.45
Ir 0.0000 0.4738 0.7500 [4 per cell]  5 O 1.95-2.01
O 0.0000 0.2962 0.7500 [4 per cell]  1 Ir 1.95
O 0.2164 0.5000 0.0000 [8 per cell]  2 Ir 2.01



14.
RbNa2IrO4 | PBE-GGA | relaxed

total moment: 0.250 μB per atom
E_form (uncorrected): -1153 meV/atom
V: 16.82 A^3/atom

a b c (Å): 5.9635 5.9635 7.5658
angles (deg): 90.00 90.00 90.00
Last column: nearest neighbours and their distance in Å.
Space group I-4 (No. 82)
Inequivalent atoms, fractional coordinates:
Rb 0.0000 0.0000 0.0000 [2 per cell]  8 O 2.81-2.91
Na 0.0000 0.0000 0.5000 [2 per cell]  4 O 2.54
Na 0.0000 0.5000 0.7500 [2 per cell]  4 O 2.38
Ir 0.0000 0.5000 0.2500 [2 per cell]  4 O 1.88
O 0.1913 0.7480 0.2752 [8 per cell]  1 Ir 1.88



15.
Rb3Na2IrO6 | PBE-GGA | relaxed

total moment: 0.169 μB per atom
E_form (uncorrected): -1158 meV/atom
V: 16.41 A^3/atom

a b c (Å): 6.0686 10.5100 6.4817
angles (deg): 90.00 107.75 90.00
Last column: nearest neighbours and their distance in Å.
Space group C2/m (No. 12)
Inequivalent atoms, fractional coordinates:
Rb 0.0000 0.0000 0.0000 [2 per cell]  4 O 2.73
Rb 0.0000 0.3251 0.0000 [4 per cell]  4 O 2.74-2.75
Na 0.0000 0.1656 0.5000 [4 per cell]  6 O 2.49-2.53
Ir 0.0000 0.5000 0.5000 [2 per cell]  6 O 1.95-1.96
O 0.1935 0.3674 0.6761 [8 per cell]  1 Ir 1.95
O 0.2023 0.5000 0.3155 [4 per cell]  1 Ir 1.96



16.
NaReIr2O | PBE-GGA | relaxed

total moment: 0.217 μB per atom
E_form (uncorrected): 789 meV/atom
V: 14.85 A^3/atom

a b c (Å): 4.3541 4.3541 3.9176
angles (deg): 90.00 90.00 90.00
Last column: nearest neighbours and their distance in Å.
Space group P4/mmm (No. 123)
Inequivalent atoms, fractional coordinates:
Na 0.0000 0.0000 0.0000 [1 per cell]  8 Ir 2.93, 4 Re 3.08
Re 0.5000 0.5000 0.0000 [1 per cell]  2 O 1.96
Ir 0.0000 0.5000 0.5000 [2 per cell]  2 O 2.18
O 0.5000 0.5000 0.5000 [1 per cell]  2 Re 1.96, 4 Ir 2.18



17.
Na2IrRhO6 | PBE-GGA | relaxed

total moment: 0.371 μB per atom
E_form (uncorrected): -809 meV/atom
V: 12.11 A^3/atom

a b c (Å): 5.5312 5.5312 3.9578
angles (deg): 90.00 90.00 90.00
Last column: nearest neighbours and their distance in Å.
Space group P4mm (No. 99)
Inequivalent atoms, fractional coordinates:
Na 0.0000 0.5000 0.0000 [2 per cell]  8 O 2.55-2.77
Ir 0.0000 0.0000 0.5321 [1 per cell]  6 O 1.88-2.07
Rh 0.5000 0.5000 0.5308 [1 per cell]  6 O 1.89-2.06
O 0.0000 0.0000 0.0562 [1 per cell]  2 Ir 1.88-2.07
O 0.2460 0.2460 0.5869 [4 per cell]  1 Ir 1.94, 1 Rh 2.00
O 0.5000 0.5000 0.0523 [1 per cell]  2 Rh 1.89-2.06



18.
Na4IrRh3O8 | PBE-GGA | relaxed

total moment: 0.000 μB per atom
E_form (uncorrected): -1075 meV/atom
V: 11.34 A^3/atom

a b c (Å): 6.3876 6.3876 15.4080
angles (deg): 90.00 90.00 120.00
Last column: nearest neighbours and their distance in Å.
Space group R-3m (No. 166, hexagonal axes)
Inequivalent atoms, fractional coordinates:
Na 0.0000 0.0000 0.0000 [3 per cell]  6 O 2.42
Na 0.0000 0.5000 0.0000 [9 per cell]  6 O 2.40-2.42
Ir 0.0000 0.0000 0.5000 [3 per cell]  6 O 2.10
Rh 0.0000 0.5000 0.5000 [9 per cell]  6 O 2.10-2.11
O 0.0000 0.0000 0.2332 [6 per cell]  3 Rh 2.11
O 0.9998 0.4999 0.2319 [18 per cell]  2 Rh 2.10, 1 Ir 2.10



19.
Na2IrRh2O6 | PBE-GGA | relaxed

total moment: 0.073 μB per atom
E_form (uncorrected): -990 meV/atom
V: 12.41 A^3/atom

a b c (Å): 5.4629 9.4454 5.6082
angles (deg): 90.00 109.35 90.00
Last column: nearest neighbours and their distance in Å.
Space group C2/m (No. 12)
Inequivalent atoms, fractional coordinates:
Na 0.0000 0.1684 0.0000 [4 per cell]  6 O 2.45-2.47
Ir 0.0000 0.0000 0.5000 [2 per cell]  6 O 2.05-2.07
Rh 0.0000 0.3346 0.5000 [4 per cell]  6 O 2.07-2.08
O 0.2271 0.1673 0.6857 [8 per cell]  1 Ir 2.07, 2 Rh 2.07-2.08
O 0.2358 0.5000 0.6891 [4 per cell]  1 Ir 2.05, 2 Rh 2.08



20.
NaIrRh2O8 | PBE-GGA | relaxed

total moment: 0.000 μB per atom
E_form (uncorrected): -727 meV/atom
V: 11.39 A^3/atom

a b c (Å): 4.6440 6.3227 4.6561
angles (deg): 90.00 91.47 90.00
Last column: nearest neighbours and their distance in Å.
Space group P2/m (No. 10)
Inequivalent atoms, fractional coordinates:
Na 0.0000 0.0000 0.0000 [1 per cell]  6 O 2.15-2.20
Ir 0.0000 0.5000 0.0000 [1 per cell]  6 O 1.92-1.99
Rh 0.5000 0.2473 0.5000 [2 per cell]  6 O 1.94-2.08
O 0.2036 0.2786 0.2010 [4 per cell]  1 Ir 1.92, 1 Rh 1.94
O 0.2981 0.5000 0.6992 [2 per cell]  1 Ir 1.99, 2 Rh 2.08
O 0.3219 0.0000 0.6757 [2 per cell]  2 Rh 1.96, 1 Na 2.15